w) An optimized crystal structure of CaLa2CoPb. Source: Alexandria via LeMat-Bulk, functional PBE-GGA.

Structure (extended XYZ):
```
5
Lattice="-3.349 -1.250 3.956 3.699 -3.201 2.120 1.874 4.066 2.871" Properties=species:S:1:pos:R:3 pbc="T T T"
Co 0.000 0.000 0.000
La 1.850 -1.601 1.060
La -1.674 -0.625 1.978
Pb 0.937 2.033 1.435
Ca 1.112 -0.192 4.473
```

Output
* crystal system: tetragonal

x) An optimized crystal structure of CaLa2CoPb. Source: Alexandria via LeMat-Bulk, functional PBE-GGA.

Structure (extended XYZ):
```
5
Lattice="-1.015 3.760 -3.472 -1.844 -3.571 -3.327 -5.011 0.609 2.124" Properties=species:S:1:pos:R:3 pbc="T T T"
Ca -2.506 0.304 1.062
La -0.508 1.880 -1.736
La -0.922 -1.785 -1.664
Co 0.000 0.000 0.000
Pb -3.935 0.399 -2.338
```

Output
* crystal system: tetragonal

Order of stability, best first: x), w)

w) An optimized crystal structure of CaLa2CoSn. Source: Alexandria via LeMat-Bulk, functional PBE-GGA.

Structure (extended XYZ):
```
5
Lattice="5.338 0.000 0.000 0.000 5.338 0.000 0.000 0.000 5.173" Properties=species:S:1:pos:R:3 pbc="T T T"
Ca 2.669 2.669 2.587
La 0.000 2.669 0.000
La 2.669 0.000 0.000
Sn 0.000 0.000 2.587
Co 0.000 0.000 0.000
```

Output
* crystal system: tetragonal

x) An optimized crystal structure of CaLa2CoSn. Source: Alexandria via LeMat-Bulk, functional PBE-GGA.

Structure (extended XYZ):
```
5
Lattice="-2.349 4.518 -1.052 -2.986 -0.570 4.218 3.697 2.614 2.971" Properties=species:S:1:pos:R:3 pbc="T T T"
Co 0.000 0.000 0.000
La -1.493 -0.285 2.109
La -1.175 2.259 -0.526
Sn -0.819 3.281 3.068
Ca 1.849 1.307 1.485
```

Output
* crystal system: tetragonal

Order of stability, best first: x), w)

w) An optimized crystal structure of SrCaLa2Co. Source: Alexandria via LeMat-Bulk, functional PBE-GGA.

Structure (extended XYZ):
```
5
Lattice="5.428 0.000 0.000 0.000 5.428 0.000 0.000 0.000 6.153" Properties=species:S:1:pos:R:3 pbc="T T T"
Ca 2.714 2.714 3.076
Co 0.000 0.000 0.000
Sr 0.000 0.000 3.076
La 2.714 0.000 0.000
La 0.000 2.714 0.000
```

Output
* crystal system: tetragonal

x) An optimized crystal structure of SrCaLa2Co. Source: Alexandria via LeMat-Bulk, functional PBE-GGA.

Structure (extended XYZ):
```
5
Lattice="-4.313 2.984 -1.540 -2.771 -1.747 4.375 2.069 4.620 3.156" Properties=species:S:1:pos:R:3 pbc="T T T"
Sr -2.507 2.928 2.995
La -1.386 -0.874 2.187
La -2.156 1.492 -0.770
Co 0.000 0.000 0.000
Ca 1.035 2.310 1.578
```

Output
* crystal system: tetragonal

Order of stability, best first: x), w)

w) An optimized crystal structure of CaLaY2Co. Source: Alexandria via LeMat-Bulk, functional PBE-GGA.

Structure (extended XYZ):
```
5
Lattice="-2.025 0.055 5.075 2.674 -4.633 1.117 4.220 2.835 1.653" Properties=species:S:1:pos:R:3 pbc="T T T"
Y -1.013 0.027 2.538
Y 1.337 -2.316 0.559
Ca 2.435 -0.872 3.923
Co 0.000 0.000 0.000
La 2.110 1.417 0.827
```

Output
* crystal system: tetragonal

x) An optimized crystal structure of CaLaY2Co. Source: Alexandria via LeMat-Bulk, functional PBE-GGA.

Structure (extended XYZ):
```
5
Lattice="-4.203 -3.149 0.454 -0.408 -0.213 -5.251 3.370 -4.509 -0.079" Properties=species:S:1:pos:R:3 pbc="T T T"
Co 0.000 0.000 0.000
Y -0.204 -0.106 -2.626
Y -2.101 -1.575 0.227
Ca 1.685 -2.254 -0.039
La -0.620 -3.936 -2.438
```

Output
* crystal system: tetragonal

Order of stability, best first: w), x)

w) An optimized crystal structure of CaLa2YCo. Source: Alexandria via LeMat-Bulk, functional PBE-GGA.

Structure (extended XYZ):
```
5
Lattice="-1.764 3.253 3.861 -5.049 -1.135 -1.350 -0.001 -4.395 3.703" Properties=species:S:1:pos:R:3 pbc="T T T"
La -0.882 1.627 1.931
La -2.524 -0.568 -0.675
Y -3.407 -1.139 3.107
Co 0.000 0.000 0.000
Ca -0.001 -2.198 1.851
```

Output
* crystal system: tetragonal

x) An optimized crystal structure of CaLa2YCo. Source: Alexandria via LeMat-Bulk, functional PBE-GGA.

Structure (extended XYZ):
```
5
Lattice="-4.196 1.650 3.024 2.952 -0.734 4.497 1.838 5.299 -0.341" Properties=species:S:1:pos:R:3 pbc="T T T"
La 1.476 -0.367 2.248
La -2.098 0.825 1.512
Y 0.919 2.650 -0.170
Co 0.000 0.000 0.000
Ca 0.297 3.107 3.590
```

Output
* crystal system: tetragonal

Order of stability, best first: x), w)

w) An optimized crystal structure of LiCaCo2. Source: Alexandria via LeMat-Bulk, functional PBE-GGA.

Structure (extended XYZ):
```
4
Lattice="3.258 0.000 0.000 0.000 3.258 0.000 0.000 0.000 6.234" Properties=species:S:1:pos:R:3 pbc="T T T"
Ca 1.629 1.629 4.675
Co 0.000 0.000 2.655
Co 0.000 0.000 0.462
Li 1.629 1.629 1.558
```

Output
* crystal system: tetragonal

x) An optimized crystal structure of LiCaCo2. Source: Alexandria via LeMat-Bulk, functional PBE-GGA.

Structure (extended XYZ):
```
4
Lattice="5.037 0.003 0.000 -2.369 4.445 0.000 0.000 0.000 2.809" Properties=species:S:1:pos:R:3 pbc="T T T"
Co 0.000 0.000 0.000
Co 1.334 2.224 0.000
Ca -1.185 2.222 1.405
Li 2.518 0.001 1.405
```

Output
* crystal system: orthorhombic

y) An optimized crystal structure of LiCaCo2. Source: Alexandria via LeMat-Bulk, functional PBE-GGA.

Structure (extended XYZ):
```
4
Lattice="-2.638 -1.899 2.260 1.235 -2.400 2.896 -0.495 2.525 4.994" Properties=species:S:1:pos:R:3 pbc="T T T"
Ca -0.474 -0.568 2.439
Co -0.490 1.865 4.447
Co -1.426 -1.028 7.863
Li -0.952 -0.406 5.470
```

Output
* crystal system: monoclinic

Order of stability, best first: y), w), x)

w) An optimized crystal structure of Li2CaCo. Source: Alexandria via LeMat-Bulk, functional PBE-GGA.

Structure (extended XYZ):
```
4
Lattice="-1.186 -4.689 -0.487 1.520 -0.106 -2.681 4.546 -1.346 1.892" Properties=species:S:1:pos:R:3 pbc="T T T"
Li 3.331 -0.801 -0.400
Li 5.767 -1.377 -0.784
Co 3.956 -3.433 -0.835
Ca 0.924 -2.708 -0.441
```

Output
* crystal system: monoclinic

x) An optimized crystal structure of Li2CaCo. Source: Alexandria via LeMat-Bulk, functional PBE-GGA.

Structure (extended XYZ):
```
4
Lattice="-0.121 -0.420 -3.404 -3.176 -0.655 0.194 -4.668 6.278 -0.609" Properties=species:S:1:pos:R:3 pbc="T T T"
Co -6.019 4.364 -2.055
Ca -4.001 3.186 -0.251
Li -4.615 6.033 -0.581
Li -1.919 0.711 -1.750
```

Output
* crystal system: monoclinic

y) An optimized crystal structure of Li2CaCo. Source: Alexandria via LeMat-Bulk, functional PBE-GGA.

Structure (extended XYZ):
```
4
Lattice="-7.423 1.444 5.704 -5.860 -0.871 7.391 -4.994 2.258 7.725" Properties=species:S:1:pos:R:3 pbc="T T T"
Li -9.491 1.470 10.811
Li -17.925 2.777 20.418
Co -4.569 0.708 5.205
Ca -13.708 2.123 15.615
```

Output
* crystal system: trigonal

Order of stability, best first: x), w), y)

w) An optimized crystal structure of LiCaCo. Source: Alexandria via LeMat-Bulk, functional PBE-GGA.

Structure (extended XYZ):
```
3
Lattice="-3.916 2.656 -2.891 -2.137 0.786 -5.054 -2.617 -2.092 -0.340" Properties=species:S:1:pos:R:3 pbc="T T T"
Li -5.047 1.821 -5.718
Co -3.668 -0.399 -2.666
Ca -6.008 3.369 -7.846
```

Output
* crystal system: tetragonal

x) An optimized crystal structure of LiCaCo. Source: Alexandria via LeMat-Bulk, functional PBE-GGA.

Structure (extended XYZ):
```
3
Lattice="4.619 0.000 0.000 -2.309 4.000 0.000 0.000 0.000 3.084" Properties=species:S:1:pos:R:3 pbc="T T T"
Co 2.309 1.333 1.545
Li 0.000 2.667 1.540
Ca 0.000 0.000 3.084
```

Output
* crystal system: hexagonal

Order of stability, best first: w), x)

w) An optimized crystal structure of LiCaCo. Source: Alexandria via LeMat-Bulk, functional PBE-GGA.

Structure (extended XYZ):
```
6
Lattice="3.901 0.000 0.000 0.000 5.372 -0.131 -1.950 -1.306 6.410" Properties=species:S:1:pos:R:3 pbc="T T T"
Li 0.000 -0.011 5.221
Li 1.950 4.077 1.058
Co 0.000 4.244 2.846
Co 1.950 -0.178 3.433
Ca 1.950 2.676 4.585
Ca 0.000 1.389 1.694
```

Output
* crystal system: monoclinic

x) An optimized crystal structure of LiCaCo. Source: Alexandria via LeMat-Bulk, functional PBE-GGA.

Structure (extended XYZ):
```
3
Lattice="4.625 0.000 0.000 2.313 4.005 0.000 2.313 1.335 3.776" Properties=species:S:1:pos:R:3 pbc="T T T"
Li 0.000 0.000 0.000
Co 2.313 1.335 0.944
Ca 4.625 2.670 1.888
```

Output
* crystal system: cubic

y) An optimized crystal structure of LiCaCo. Source: Alexandria via LeMat-Bulk, functional PBE-GGA.

Structure (extended XYZ):
```
3
Lattice="3.395 0.000 0.000 -1.698 2.940 0.000 0.000 0.000 6.596" Properties=species:S:1:pos:R:3 pbc="T T T"
Li 0.000 1.960 3.954
Ca 0.000 0.000 0.322
Co 1.698 0.980 2.320
```

Output
* crystal system: trigonal

Order of stability, best first: w), y), x)

w) An optimized crystal structure of LiCaCo3. Source: Alexandria via LeMat-Bulk, functional PBE-GGA.

Structure (extended XYZ):
```
5
Lattice="4.679 0.000 0.000 0.000 4.679 0.000 0.000 0.000 4.679" Properties=species:S:1:pos:R:3 pbc="T T T"
Li 2.339 2.339 2.339
Co 2.339 0.000 0.000
Co 0.000 0.000 2.339
Co 0.000 2.339 0.000
Ca 0.000 0.000 0.000
```

Output
* crystal system: cubic

x) An optimized crystal structure of LiCaCo3. Source: Alexandria via LeMat-Bulk, functional PBE-GGA.

Structure (extended XYZ):
```
5
Lattice="-3.726 1.556 -1.203 -1.410 -0.317 3.958 1.371 3.903 0.801" Properties=species:S:1:pos:R:3 pbc="T T T"
Ca -1.883 2.571 1.778
Co -0.705 -0.159 1.979
Co -1.863 0.778 -0.601
Co 0.685 1.951 0.400
Li 0.000 0.000 0.000
```

Output
* crystal system: cubic

Order of stability, best first: x), w)

w) An optimized crystal structure of LiCa3Co. Source: Alexandria via LeMat-Bulk, functional PBE-GGA.

Structure (extended XYZ):
```
10
Lattice="3.966 0.000 0.000 0.000 7.912 -3.799 0.000 -0.431 9.781" Properties=species:S:1:pos:R:3 pbc="T T T"
Co 0.991 3.044 7.762
Co 2.974 4.437 -1.780
Li 2.974 4.984 3.237
Li 0.991 2.498 2.744
Ca 0.991 5.613 6.311
Ca 0.991 -0.156 6.700
Ca 2.974 1.868 -0.329
Ca 2.974 2.644 5.557
Ca 2.974 7.637 -0.718
Ca 0.991 4.837 0.425
```

Output
* crystal system: monoclinic

x) An optimized crystal structure of LiCa3Co. Source: Alexandria via LeMat-Bulk, functional PBE-GGA.

Structure (extended XYZ):
```
5
Lattice="5.432 0.000 0.000 0.000 5.432 0.000 0.000 0.000 5.432" Properties=species:S:1:pos:R:3 pbc="T T T"
Ca 0.000 2.716 0.000
Ca 2.716 0.000 0.000
Ca 0.000 0.000 2.716
Li 2.716 2.716 2.716
Co 0.000 0.000 0.000
```

Output
* crystal system: cubic

Order of stability, best first: w), x)

w) An optimized crystal structure of LiCaY2Co. Source: Alexandria via LeMat-Bulk, functional PBE-GGA.

Structure (extended XYZ):
```
5
Lattice="5.134 0.000 0.000 0.000 5.134 0.000 0.000 0.000 5.314" Properties=species:S:1:pos:R:3 pbc="T T T"
Li 0.000 0.000 2.657
Y 0.000 2.567 0.000
Y 2.567 0.000 0.000
Ca 2.567 2.567 2.657
Co 0.000 0.000 0.000
```

Output
* crystal system: tetragonal

x) An optimized crystal structure of LiCaY2Co. Source: Alexandria via LeMat-Bulk, functional PBE-GGA.

Structure (extended XYZ):
```
5
Lattice="-1.072 -2.492 -4.415 2.520 -4.177 1.746 -4.732 -1.922 2.234" Properties=species:S:1:pos:R:3 pbc="T T T"
Co 0.000 0.000 0.000
Li -1.642 -4.296 -0.218
Y 1.260 -2.089 0.873
Y -0.536 -1.246 -2.208
Ca -2.366 -0.961 1.117
```

Output
* crystal system: tetragonal

Order of stability, best first: x), w)